First-principles (GGA-PBEsol) data for a relaxed structure of LiTi3Tc, as listed in Alexandria via LeMat-Bulk.

magnetization: 0.00 μB per formula unit
density: 5.5 g/cm3
DOS(E_F): 1.474 states/eV per atom
E_tot: -6.6415 eV per atom

Structure (POSCAR):
```
LiTi3Tc
1.0
4.2124 0.0000 0.0000
0.0000 4.2124 0.0000
0.0000 0.0000 4.2124
Ti Tc Li
3 1 1
Direct
0.5000 0.0000 0.0000
0.0000 0.0000 0.5000
0.0000 0.5000 0.0000
0.5000 0.5000 0.5000
0.0000 0.0000 0.0000
```